# 1
{"formula": "PmTlIn2", "functional": "PBE", "state": "optimized geometry", "lattice": [[4.721, 0.000, 0.000], [0.000, 4.721, 0.000], [0.000, 0.000, 4.781]], "species": ["Pm", "Tl", "In", "In"], "fractional_positions": [[0.000, 0.000, 0.000], [0.500, 0.500, 0.000], [0.000, 0.500, 0.500], [0.500, 0.000, 0.500]], "de_polymorph_mev_per_atom": 0.0}



# 2
{"formula": "SrMnNi2", "functional": "PBE", "state": "optimized geometry", "lattice": [[-2.140, 2.611, 3.377], [2.140, -2.611, 3.377], [2.140, 2.611, -3.377]], "species": ["Sr", "Mn", "Ni", "Ni"], "fractional_positions": [[0.000, 0.000, 0.000], [0.500, 0.500, 0.000], [0.310, 0.810, 0.500], [0.690, 0.190, 0.500]]}



no.,D(E_F) (states/eV per cell),DFT formation energy (meV/atom)
1,1.90,-404
2,2.88,377